1.
Here is an optimized crystal structure of CrP2OsCl from Alexandria. Energies are from GGA-PBE.

Output
Calculated volume (A^3/atom): 20.53
Energy relative to the lowest polymorph listed for this composition (kJ/mol of formula units): 15.0
Raw formation energy (eV/atom): 1.217

```
CrP2OsCl
1.0
4.504 0.000 0.000
0.000 4.504 0.000
0.000 0.000 5.062
Cr P Os Cl
1 2 1 1
direct
0.000 0.000 0.000 Cr
0.000 0.500 0.500 P
0.500 0.000 0.500 P
0.500 0.500 0.500 Os
0.500 0.500 0.000 Cl
```



2.
Here is an optimized crystal structure of DyPaCuPt from Alexandria. Energies are from GGA-PBE.

Output
Calculated volume (A^3/atom): 21.22
Calculated formation energy (eV per atom): -0.465

```
DyPaCuPt
1.0
0.000 3.488 3.488
3.488 0.000 3.488
3.488 3.488 0.000
Dy Pa Cu Pt
1 1 1 1
direct
0.000 0.000 0.000 Dy
0.500 0.500 0.500 Pa
0.250 0.250 0.250 Cu
0.750 0.750 0.750 Pt
```



3.
Here is an optimized crystal structure of YIrSCl2 from Alexandria. Energies are from GGA-PBE.

Output
Calculated volume (A^3/atom): 21.48
Energy relative to the lowest polymorph listed for this composition (kJ/mol of formula units): 0.0
Raw formation energy (eV/atom): -0.368

```
YIrSCl2
1.0
4.732 0.000 0.000
0.000 4.732 0.000
0.000 0.000 4.796
Y Ir S Cl
1 1 1 2
direct
0.000 0.000 0.000 Y
0.500 0.500 0.500 Ir
0.500 0.500 0.000 S
0.000 0.500 0.500 Cl
0.500 0.000 0.500 Cl
```



4.
Here is an optimized crystal structure of CdGaPbF6 from Alexandria. Energies are from GGA-PBE.

Output
Calculated volume (A^3/atom): 15.94
Raw formation energy (eV/atom): -2.197

```
CdGaPbF6
1.0
6.181 0.000 0.000
-3.090 5.353 0.000
0.000 0.000 8.670
Cd Ga Pb F
2 2 2 12
direct
0.000 0.000 0.000 Cd
0.000 0.000 0.500 Cd
0.333 0.667 0.250 Ga
0.667 0.333 0.750 Ga
0.333 0.667 0.750 Pb
0.667 0.333 0.250 Pb
0.071 0.403 0.127 F
0.071 0.667 0.373 F
0.333 0.403 0.373 F
0.333 0.929 0.127 F
0.403 0.071 0.627 F
0.403 0.333 0.873 F
0.597 0.667 0.127 F
0.597 0.929 0.373 F
0.667 0.071 0.873 F
0.667 0.597 0.627 F
0.929 0.333 0.627 F
0.929 0.597 0.873 F
```